No. 1
The following is a DFT calculation (PBE-GGA) of a relaxed structure of Er4AlCuAg2.

Energy of formation from the pure elements = -0.32 eV/atom

abc: 5.0433 5.0433 8.7309
angles: 73.21 73.21 60.00
Atoms (fractional coordinates):
Cu 0.5000 0.5000 0.5000
Er 0.1286 0.1286 0.6142
Er 0.8714 0.8714 0.3858
Er 0.6204 0.6204 0.1388
Er 0.3796 0.3796 0.8612
Ag 0.2554 0.2554 0.2339
Ag 0.7446 0.7446 0.7661
Al 0.0000 0.0000 0.0000

=====

No. 2
The following is a DFT calculation (PBE-GGA) of a relaxed structure of Er2Al3Cu12Ag.

Energy of formation from the pure elements = 0.10 eV/atom

abc: 9.8576 9.8576 9.8576
angles: 36.27 36.27 36.27
Atoms (fractional coordinates):
Al 0.5000 0.0000 0.0000
Al 0.0000 0.0000 0.5000
Al 0.0000 0.5000 0.0000
Cu 0.5827 0.1956 0.5827
Cu 0.8742 0.4438 0.8742
Cu 0.1258 0.5562 0.1258
Cu 0.4173 0.4173 0.8044
Cu 0.5562 0.1258 0.1258
Cu 0.1956 0.5827 0.5827
Cu 0.8742 0.8742 0.4438
Cu 0.4438 0.8742 0.8742
Cu 0.5827 0.5827 0.1956
Cu 0.8044 0.4173 0.4173
Cu 0.4173 0.8044 0.4173
Cu 0.1258 0.1258 0.5562
Er 0.6409 0.6409 0.6409
Er 0.3591 0.3591 0.3591
Ag 0.0000 0.0000 0.0000

=====

No. 3
The following is a DFT calculation (PBE-GGA) of a relaxed structure of Al2CuAgF.

Raw total energy = -3.072 eV/atom

abc: 4.8417 4.7449 4.8417
angles: 90.00 90.00 90.00
Atoms (fractional coordinates):
F 0.5000 0.5000 0.5000
Cu 0.0000 0.5000 0.0000
Al 0.0000 0.0000 0.5000
Al 0.5000 0.0000 0.0000
Ag 0.0000 0.0000 0.0000

=====

No. 4
The following is a DFT calculation (PBE-GGA) of a relaxed structure of Al2GaCuAg.

Energy of formation from the pure elements = 0.74 eV/atom

abc: 4.7814 4.8849 4.7814
angles: 90.00 90.00 90.00
Atoms (fractional coordinates):
Cu 0.5000 0.5000 0.5000
Al 0.5000 0.0000 0.0000
Al 0.0000 0.0000 0.5000
Ag 0.0000 0.5000 0.0000
Ga 0.0000 0.0000 0.0000

=====

no.,spin magnetization (μB/f.u.)
1,0.00
2,0.00
3,0.00
4,0.00